(one)
{"formula": "Cr2CuW", "functional": "GGA-PBE", "state": "optimized geometry", "cell": [[-2.121, 4.165, -1.136], [-1.656, 0.277, -4.508], [-0.358, -2.574, 4.048]], "species": ["W", "Cu", "Cr", "Cr"], "fractional_positions": [[0.237, 0.737, 0.500], [0.507, 0.507, 0.000], [0.768, 0.268, 0.500], [0.988, 0.988, 0.000]], "sg": "No. 44", "vol_a3_per_cell": 52}


(two)
{"formula": "Cr2CuW", "functional": "GGA-PBE", "state": "optimized geometry", "cell": [[4.214, 0.000, 0.000], [2.107, 3.649, 0.000], [2.107, 1.216, 3.440]], "species": ["W", "Cu", "Cr", "Cr"], "fractional_positions": [[0.750, 0.750, 0.750], [0.500, 0.500, 0.500], [0.000, 0.000, 0.000], [0.250, 0.250, 0.250]], "sg": "No. 216", "vol_a3_per_cell": 53}


Relative energies, eV/atom: (one) 0.000; (two) 0.095.